A plane-wave DFT calculation with PBE was carried out for a relaxed structure of Cd3Ag2Hg2.

Its crystal system is monoclinic. The calculated total energy comes out at -8.89 eV/f.u. The space-group type is C2/m. Its formation energy is 0.023 eV/atom.

a = 4.2938 Å, b = 5.3182 Å, c = 8.6731 Å
α = 55.13°, β = 75.67°, γ = 66.19°
Fractional coordinates of all 7 atoms:
1 Cd 0.5000 0.0000 0.0000
2 Cd 0.3573 0.8617 0.4236
3 Cd 0.6427 0.1383 0.5764
4 Ag 0.2122 0.7136 0.8620
5 Ag 0.7878 0.2864 0.1380
6 Hg 0.0775 0.5708 0.2743
7 Hg 0.9225 0.4292 0.7257


A plane-wave DFT calculation with PBE was carried out for a relaxed structure of Cd3AgHg6.

Its crystal system is monoclinic. The calculated total energy comes out at -6.96 eV/f.u. The space-group type is P2_1/m. Its formation energy is 0.045 eV/atom.

a = 3.7808 Å, b = 12.7156 Å, c = 14.0668 Å
α = 133.40°, β = 90.00°, γ = 90.00°
Fractional coordinates of all 20 atoms:
1 Cd 0.2500 0.1359 0.5985
2 Cd 0.7500 0.8641 0.4015
3 Cd 0.2500 0.6130 0.3150
4 Cd 0.7500 0.3870 0.6850
5 Cd 0.2500 0.8756 0.7872
6 Cd 0.7500 0.1244 0.2128
7 Ag 0.2500 0.3366 0.0355
8 Ag 0.7500 0.6634 0.9645
9 Hg 0.2500 0.3819 0.4967
10 Hg 0.7500 0.6181 0.5033
11 Hg 0.2500 0.8775 0.0056
12 Hg 0.7500 0.1225 0.9944
13 Hg 0.2500 0.8970 0.5984
14 Hg 0.7500 0.1030 0.4016
15 Hg 0.2500 0.8344 0.1973
16 Hg 0.7500 0.1656 0.8027
17 Hg 0.2500 0.4318 0.8824
18 Hg 0.7500 0.5682 0.1176
19 Hg 0.2500 0.3409 0.2530
20 Hg 0.7500 0.6591 0.7470


A plane-wave DFT calculation with PBE was carried out for a relaxed structure of Cd2AgHg4.

Its crystal system is tetragonal. The calculated total energy comes out at -4.89 eV/f.u. The energy above the most stable polymorph in this dataset comes out at 0.0579 eV/atom. The space-group type is I4/mmm. Its formation energy is 0.142 eV/atom.

a = 5.6034 Å, b = 5.6034 Å, c = 8.1317 Å
α = 69.85°, β = 69.85°, γ = 90.00°
Fractional coordinates of all 7 atoms:
1 Hg 0.8044 0.8044 0.3911
2 Hg 0.1956 0.1956 0.6089
3 Hg 0.0000 0.5000 0.0000
4 Hg 0.5000 0.0000 0.0000
5 Ag 0.0000 0.0000 0.0000
6 Cd 0.6040 0.6040 0.7921
7 Cd 0.3960 0.3960 0.2079


A plane-wave DFT calculation with PBE was carried out for a relaxed structure of Cd4AgHg3.

Its crystal system is monoclinic. The calculated total energy comes out at -7.09 eV/f.u. The space-group type is C2/m. Its formation energy is 0.041 eV/atom.

a = 3.0925 Å, b = 5.3591 Å, c = 11.9589 Å
α = 97.08°, β = 97.43°, γ = 90.00°
Fractional coordinates of all 8 atoms:
1 Hg 0.0000 0.5000 0.0000
2 Hg 0.1535 0.6545 0.3070
3 Hg 0.8465 0.3455 0.6930
4 Ag 0.5000 0.0000 0.0000
5 Cd 0.7186 0.2155 0.4372
6 Cd 0.2814 0.7845 0.5628
7 Cd 0.1017 0.1235 0.2034
8 Cd 0.8983 0.8765 0.7966